Here is a relaxed structure of Ba2CaIn2 from Alexandria. Energies are from PBE-GGA.

abc: 5.9847 6.1760 12.4194
angles: 84.99 76.06 61.02
Positions (direct):
Ba1 0.2946 0.3143 0.0966
Ba2 0.4785 0.3236 0.7194
Ba3 0.5215 0.6764 0.2806
Ba4 0.7054 0.6857 0.9034
Ca1 0.2105 0.9750 0.6039
Ca2 0.7895 0.0250 0.3961
In1 0.8713 0.6519 0.6055
In2 0.1287 0.3481 0.3945
In3 0.0417 0.0360 0.8805
In4 0.9583 0.9640 0.1195

Summary:
As for the uncorrected energy: -2.6136 eV per atom.

Here is a relaxed structure of BaCaIn4 from Alexandria. Energies are from PBE-GGA.

abc: 5.1749 6.5188 6.5188
angles: 79.49 66.61 66.61
Positions (direct):
In1 0.8341 0.8527 0.4791
In2 0.8341 0.4791 0.8527
In3 0.1569 0.6557 0.0305
In4 0.1569 0.0305 0.6557
Ba1 0.5508 0.4492 0.4492
Ca1 0.4672 0.0328 0.0328

Summary:
As for the uncorrected energy: -2.8974 eV per atom.

The evaluated DOS at the Fermi energy for the records listed, in turn: 0.705, 0.335 states/eV per atom.
The evaluated offset from the most stable computed form for the records listed, in turn: 0.000, 0.000 eV/atom.
The evaluated magnetization for the records listed, in turn: 0.00, 0.00 μB per cell.